! DyTc3B3, relaxed, DFT PBE; values from VASP
! Calculated volume: 175.0 Å³/cell
! VASP energy: -8.294 eV/atom
&SYSTEM
  ibrav = 0, nat = 14, ntyp = 3
/
ATOMIC_SPECIES
Dy 162.50 Dy.upf
Tc 98.00 Tc.upf
B 10.81 B.upf
ATOMIC_POSITIONS angstrom
Dy 0.000 4.652 0.778
Dy 4.028 2.326 2.334
Tc -0.690 2.149 2.334
Tc -1.822 6.501 2.334
Tc 1.516 1.672 0.778
Tc 2.513 5.305 2.334
Tc 5.851 0.476 0.778
Tc 4.719 4.829 0.778
B -1.989 3.980 2.334
B 1.576 3.265 2.334
B 3.615 0.267 0.778
B 0.413 6.710 2.334
B 2.452 3.713 0.778
B 6.018 2.998 0.778
CELL_PARAMETERS angstrom
8.057 0.000 0.000
-4.028 6.977 0.000
0.000 0.000 3.112


! La5Pm6Ho2, relaxed, DFT PBE; values from VASP
! Calculated volume: 918.2 Å³/cell
! VASP energy: -4.707 eV/atom
&SYSTEM
  ibrav = 0, nat = 26, ntyp = 3
/
ATOMIC_SPECIES
La 138.91 La.upf
Pm 145.00 Pm.upf
Ho 164.93 Ho.upf
ATOMIC_POSITIONS angstrom
La 0.000 0.000 0.000
La 0.997 5.728 0.000
La 2.340 11.624 0.000
La 3.586 1.078 0.000
La 4.930 16.274 0.000
La 5.927 10.546 0.000
La 6.924 4.818 0.000
La 8.267 20.013 0.000
La 9.513 9.468 0.000
La 10.856 15.364 0.000
Pm 0.740 8.815 1.836
Pm 0.993 2.756 1.836
Pm 2.060 18.121 0.000
Pm 3.867 7.575 0.000
Pm 4.934 13.302 1.836
Pm 5.186 19.361 1.836
Pm 6.667 1.731 1.836
Pm 6.920 7.790 1.836
Pm 7.986 13.517 0.000
Pm 9.793 2.971 0.000
Pm 10.860 18.336 1.836
Pm 11.113 12.277 1.836
Ho 2.020 14.965 1.836
Ho 3.907 4.420 1.836
Ho 7.946 16.672 1.836
Ho 9.834 6.126 1.836
CELL_PARAMETERS angstrom
11.853 0.000 0.000
0.000 21.092 0.000
0.000 0.000 3.673


! Er3BTe2, relaxed, DFT PBE; values from VASP
! Calculated volume: 608.7 Å³/cell
! Energy relative to the elements, uncorrected: -0.97 eV/atom
! Distance to the lowest polymorph of the same formula: 0 meV per atom
&SYSTEM
  ibrav = 0, nat = 24, ntyp = 3
/
ATOMIC_SPECIES
Er 167.26 Er.upf
B 10.81 B.upf
Te 127.60 Te.upf
ATOMIC_POSITIONS angstrom
Er 2.972 1.211 6.904
Er 5.731 4.411 9.175
Er 3.373 1.211 11.446
Er 5.488 4.151 13.020
Er 7.846 7.351 15.292
Er 5.087 4.151 17.563
Er 3.373 7.610 6.904
Er 0.615 4.411 9.175
Er 2.972 7.610 11.446
Er 5.087 10.550 13.020
Er 2.730 7.351 15.292
Er 5.488 10.550 17.563
B 1.058 1.470 1.006
B 1.058 1.470 5.110
B 7.403 10.291 19.356
B 7.403 10.291 23.460
Te 3.173 4.411 3.200
Te 3.173 4.411 7.272
Te 5.288 7.351 9.317
Te 3.173 4.411 11.078
Te 5.288 7.351 13.389
Te 3.173 4.411 15.150
Te 5.288 7.351 17.194
Te 5.288 7.351 21.266
CELL_PARAMETERS angstrom
0.000 5.881 12.233
4.230 0.000 12.233
4.230 5.881 0.000


! Ag3Rh, relaxed, DFT PBE; values from VASP
! Calculated volume: 67.3 Å³/cell
! VASP energy: -3.781 eV/atom
&SYSTEM
  ibrav = 0, nat = 4, ntyp = 2
/
ATOMIC_SPECIES
Ag 107.87 Ag.upf
Rh 102.91 Rh.upf
ATOMIC_POSITIONS angstrom
Ag 0.000 0.000 0.000
Ag 0.000 2.385 1.660
Ag 1.402 0.000 2.564
Rh 1.402 2.385 4.190
CELL_PARAMETERS angstrom
2.803 0.000 0.000
0.000 4.770 0.000
0.000 0.000 5.035


! Dy8Al2Bi, relaxed, DFT PBE; values from VASP
! Calculated volume: 322.8 Å³/cell
! VASP energy: -4.610 eV/atom
&SYSTEM
  ibrav = 0, nat = 11, ntyp = 3
/
ATOMIC_SPECIES
Dy 162.50 Dy.upf
Al 26.98 Al.upf
Bi 208.98 Bi.upf
ATOMIC_POSITIONS angstrom
Dy 0.161 0.000 1.721
Dy 2.684 0.000 5.517
Dy 5.548 0.000 3.606
Dy 7.642 0.000 0.208
Dy 9.791 0.000 6.588
Dy 11.884 0.000 3.190
Dy 14.748 0.000 1.279
Dy 17.271 0.000 5.075
Al 3.200 0.000 1.628
Al 14.232 0.000 5.168
Bi 8.716 0.000 3.398
CELL_PARAMETERS angstrom
9.550 -2.487 0.000
9.550 2.487 0.000
-1.667 0.000 6.796


! BaCeTl4, relaxed, DFT PBE; values from VASP
! Calculated volume: 190.6 Å³/cell
! VASP energy: -3.026 eV/atom
&SYSTEM
  ibrav = 0, nat = 6, ntyp = 3
/
ATOMIC_SPECIES
Ba 137.33 Ba.upf
Ce 140.12 Ce.upf
Tl 204.38 Tl.upf
ATOMIC_POSITIONS angstrom
Ba 0.000 0.000 0.000
Ce 6.852 6.852 6.852
Tl 3.430 3.430 3.430
Tl 5.705 5.705 3.430
Tl 5.705 3.430 5.705
Tl 3.430 5.705 5.705
CELL_PARAMETERS angstrom
0.000 4.568 4.568
4.568 0.000 4.568
4.568 4.568 0.000


! Li12InHg3, relaxed, DFT PBE; values from VASP
! Calculated volume: 288.3 Å³/cell
! VASP energy: -1.913 eV/atom
&SYSTEM
  ibrav = 0, nat = 16, ntyp = 3
/
ATOMIC_SPECIES
Li 6.94 Li.upf
In 114.82 In.upf
Hg 200.59 Hg.upf
ATOMIC_POSITIONS angstrom
Li 0.000 0.000 0.000
Li 0.000 0.000 4.043
Li 0.000 0.000 8.212
Li 0.000 0.000 12.381
Li 0.000 2.095 2.026
Li 0.000 2.095 6.080
Li 0.000 2.095 10.344
Li 0.000 2.095 14.398
Li 2.095 0.000 2.026
Li 2.095 0.000 6.080
Li 2.095 0.000 10.344
Li 2.095 0.000 14.398
In 2.095 2.095 8.212
Hg 2.095 2.095 0.000
Hg 2.095 2.095 4.070
Hg 2.095 2.095 12.354
CELL_PARAMETERS angstrom
4.190 0.000 0.000
0.000 4.190 0.000
0.000 0.000 16.424


! Ba2Li3ScSb4, relaxed, DFT PBE; values from VASP
! Calculated volume: 279.3 Å³/cell
! Energy relative to the elements, uncorrected: -0.83 eV/atom
&SYSTEM
  ibrav = 0, nat = 10, ntyp = 4
/
ATOMIC_SPECIES
Ba 137.33 Ba.upf
Li 6.94 Li.upf
Sc 44.96 Sc.upf
Sb 121.76 Sb.upf
ATOMIC_POSITIONS angstrom
Ba 0.000 2.435 2.693
Ba 2.435 0.000 9.089
Li 0.000 2.435 10.345
Li 2.435 0.000 1.437
Li 2.435 2.435 5.891
Sc 0.000 0.000 5.891
Sb 0.000 0.000 0.000
Sb 0.000 2.435 7.503
Sb 2.435 0.000 4.278
Sb 2.435 2.435 0.000
CELL_PARAMETERS angstrom
4.869 0.000 0.000
0.000 4.869 0.000
0.000 0.000 11.781


no.,magnetic moment (μB per atom)
1,0.000
2,0.000
3,0.000
4,0.111
5,0.000
6,0.241
7,0.000
8,0.047